Material: NaLi2CeAu4
Method: DFT, PBE
State: relaxed

The density of states at the Fermi level comes out at 9.257 states/eV/cell. The calculated density is 9.5 g/cm3. The value obtained for the total magnetic moment is 1.1 μB/cell. As for the formation enthalpy at 0 K: -497 meV/atom. As for the space-group type: No. 166. The final energy comes out at -3.520 eV/atom.

Cell: 4.5941 4.5941 9.6447 Å, 76.22 76.22 60.00°
Closest atoms and distances in Å follow each position.
Element x y z (fractional)
Au 0.3917 0.3917 0.8250  3 Li 2.83, 1 Na 3.01, 3 Au 3.02, 3 Ce 3.11
Li 0.7602 0.7602 0.7194  6 Au 2.69-2.83
Au 0.6083 0.6083 0.1750  3 Li 2.83, 1 Na 3.01, 3 Au 3.02, 3 Ce 3.11
Au 0.1104 0.1104 0.6689  3 Li 2.69
Ce 0.0000 0.0000 0.0000  8 Au 3.07-3.11
Na 0.5000 0.5000 0.5000  8 Au 3.01-3.08, 6 Li 3.34
Au 0.8896 0.8896 0.3311  3 Li 2.69
Li 0.2398 0.2398 0.2806  6 Au 2.69-2.83

***

Material: MgMn4Co
Method: DFT, PBE
State: relaxed

The density of states at the Fermi level comes out at 9.050 states/eV/cell. The calculated density is 6.8 g/cm3. The value obtained for the total magnetic moment is 5.9 μB/cell. As for the formation enthalpy at 0 K: 290 meV/atom. As for the space-group type: No. 216. The final energy comes out at -7.273 eV/atom.

Cell: 4.7230 4.7230 4.7230 Å, 60.00 60.00 60.00°
Closest atoms and distances in Å follow each position.
Element x y z (fractional)
Mn 0.3751 0.8747 0.3751  6 Mn 2.36
Mg 0.0000 0.0000 0.0000  12 Mn 2.77, 4 Co 2.89
Mn 0.8747 0.3751 0.3751  6 Mn 2.36
Co 0.7500 0.7500 0.7500  12 Mn 2.77, 4 Mg 2.89
Mn 0.3751 0.3751 0.8747  6 Mn 2.36
Mn 0.3751 0.3751 0.3751  6 Mn 2.36

***

Material: Na3NdCl6
Method: DFT, PBE
State: relaxed

The density of states at the Fermi level comes out at 0.000 states/eV/cell. The calculated density is 2.6 g/cm3. The value obtained for the total magnetic moment is 0.0 μB/cell. As for the energy relative to the elements, uncorrected: -1.979 eV/atom. As for the space-group type: No. 14. The final energy comes out at -3.959 eV/atom.

Cell: 7.0850 7.3676 10.4930 Å, 90.00 88.86 90.00°
Closest atoms and distances in Å follow each position.
Element x y z (fractional)
Cl 0.6413 0.4150 0.2605  1 Nd 2.76, 3 Na 2.84-3.00
Na 0.0000 0.0000 0.5000  6 Cl 2.72-3.00
Cl 0.3262 0.8068 0.4069  1 Nd 2.76, 2 Na 2.87-2.90
Cl 0.8262 0.6932 0.9069  1 Nd 2.76, 2 Na 2.87-2.90
Nd 0.0000 0.0000 0.0000  6 Cl 2.73-2.76
Cl 0.8587 0.9150 0.2395  1 Nd 2.76, 3 Na 2.84-3.00
Cl 0.1738 0.3068 0.0931  1 Nd 2.76, 2 Na 2.87-2.90
Cl 0.3260 0.8206 0.0548  2 Na 2.72-2.78, 1 Nd 2.73
Cl 0.8260 0.6794 0.5548  2 Na 2.72-2.78, 1 Nd 2.73
Na 0.5136 0.9369 0.7753  4 Cl 2.78-2.90
Na 0.5000 0.5000 0.0000  6 Cl 2.72-3.00
Cl 0.3587 0.5850 0.7395  1 Nd 2.76, 3 Na 2.84-3.00
Cl 0.6740 0.1794 0.9452  2 Na 2.72-2.78, 1 Nd 2.73
Cl 0.6738 0.1932 0.5931  1 Nd 2.76, 2 Na 2.87-2.90
Na 0.4864 0.0631 0.2247  4 Cl 2.78-2.90
Na 0.0136 0.5631 0.2753  4 Cl 2.78-2.90
Cl 0.1740 0.3206 0.4452  2 Na 2.72-2.78, 1 Nd 2.73
Cl 0.1413 0.0850 0.7605  1 Nd 2.76, 3 Na 2.84-3.00
Na 0.9864 0.4369 0.7247  4 Cl 2.78-2.90
Nd 0.5000 0.5000 0.5000  6 Cl 2.73-2.76

***

Material: Nd3Sb
Method: DFT, PBE
State: relaxed

The density of states at the Fermi level comes out at 4.033 states/eV/cell. The calculated density is 7.7 g/cm3. The value obtained for the total magnetic moment is 0.0 μB/cell. As for the energy relative to the elements, uncorrected: -0.550 eV/atom. As for the space-group type: No. 221. The final energy comes out at -5.157 eV/atom.

Cell: 4.9326 4.9320 4.9313 Å, 90.00 90.00 90.00°
Closest atoms and distances in Å follow each position.
Element x y z (fractional)
Nd 0.0000 0.0000 0.0831  4 Sb 3.49, 8 Nd 3.49
Nd 0.0000 0.5000 0.5833  8 Nd 3.49, 4 Sb 3.49
Sb 0.5000 0.0000 0.5834  12 Nd 3.49
Nd 0.5000 0.5000 0.0835  8 Nd 3.49, 4 Sb 3.49

***

Material: HoErCuIr
Method: DFT, PBE
State: relaxed

The density of states at the Fermi level comes out at 2.839 states/eV/cell. The calculated density is 12.2 g/cm3. The value obtained for the total magnetic moment is 0.0 μB/cell. As for the formation enthalpy at 0 K: -626 meV/atom. As for the space-group type: No. 216. The final energy comes out at -6.150 eV/atom.

Cell: 4.8394 4.8394 4.8394 Å, 60.00 60.00 60.00°
Closest atoms and distances in Å follow each position.
Element x y z (fractional)
Ir 0.7500 0.7500 0.7500  4 Er 2.96, 4 Ho 2.96
Cu 0.2500 0.2500 0.2500  4 Ho 2.96, 4 Er 2.96
Ho 0.0000 0.0000 0.0000  4 Cu 2.96, 4 Ir 2.96
Er 0.5000 0.5000 0.5000  4 Ir 2.96, 4 Cu 2.96

***

Material: SrIn2Hg5
Method: DFT, PBE
State: relaxed

The density of states at the Fermi level comes out at 6.079 states/eV/cell. The calculated density is 9.7 g/cm3. The value obtained for the total magnetic moment is 0.0 μB/cell. As for the formation enthalpy at 0 K: -175 meV/atom. As for the space-group type: No. 140. The final energy comes out at -1.258 eV/atom.

Cell: 8.2194 8.2194 8.8448 Å, 117.69 117.69 90.00°
Closest atoms and distances in Å follow each position.
Element x y z (fractional)
Sr 0.2500 0.2500 0.5000  10 Hg 3.33-3.39
Hg 0.0000 0.0000 0.0000  4 In 3.10, 2 Sr 3.33
Hg 0.5187 0.3012 0.3199  3 In 3.17-3.25, 4 Hg 3.28-3.49, 2 Sr 3.39
Hg 0.3012 0.8012 0.3199  3 In 3.17-3.25, 4 Hg 3.28-3.49, 2 Sr 3.39
Sr 0.7500 0.7500 0.5000  10 Hg 3.33-3.39
In 0.1566 0.3434 0.0000  8 Hg 3.10-3.25
Hg 0.4813 0.6988 0.6801  3 In 3.17-3.25, 4 Hg 3.28-3.49, 2 Sr 3.39
In 0.6566 0.1566 0.0000  8 Hg 3.10-3.25
Hg 0.1988 0.9813 0.6801  3 In 3.17-3.25, 4 Hg 3.28-3.49, 2 Sr 3.39
In 0.3434 0.8434 0.0000  8 Hg 3.10-3.25
Hg 0.0187 0.5187 0.3199  3 In 3.17-3.25, 4 Hg 3.28-3.49, 2 Sr 3.39
Hg 0.9813 0.4813 0.6801  3 In 3.17-3.25, 4 Hg 3.28-3.49, 2 Sr 3.39
In 0.8434 0.6566 0.0000  8 Hg 3.10-3.25
Hg 0.8012 0.0187 0.3199  3 In 3.17-3.25, 4 Hg 3.28-3.49, 2 Sr 3.39
Hg 0.6988 0.1988 0.6801  3 In 3.17-3.25, 4 Hg 3.28-3.49, 2 Sr 3.39
Hg 0.5000 0.5000 0.0000  4 In 3.10, 2 Sr 3.33

***

Material: Tb2InRh
Method: DFT, PBE
State: relaxed

The density of states at the Fermi level comes out at 2.637 states/eV/cell. The calculated density is 9.4 g/cm3. The value obtained for the total magnetic moment is 0.0 μB/cell. As for the formation enthalpy at 0 K: -547 meV/atom. As for the space-group type: No. 225. The final energy comes out at -5.385 eV/atom.

Cell: 5.1193 5.1193 5.1193 Å, 60.00 60.00 60.00°
Closest atoms and distances in Å follow each position.
Element x y z (fractional)
In 0.0000 0.0000 0.0000  8 Tb 3.13
Tb 0.7500 0.7500 0.7500  4 In 3.13, 4 Rh 3.13
Rh 0.5000 0.5000 0.5000  8 Tb 3.13
Tb 0.2500 0.2500 0.2500  4 Rh 3.13, 4 In 3.13

***

Material: TeSe2
Method: DFT, PBE
State: relaxed

The density of states at the Fermi level comes out at 3.274 states/eV/cell. The calculated density is 5.7 g/cm3. The value obtained for the total magnetic moment is 0.0 μB/cell. As for the energy relative to the elements, uncorrected: 0.175 eV/atom. As for the space-group type: No. 205. The final energy comes out at -3.196 eV/atom.

Cell: 6.9237 6.9237 6.9237 Å, 90.00 90.00 90.00°
Closest atoms and distances in Å follow each position.
Element x y z (fractional)
Se 0.1518 0.8482 0.6518  3 Te 2.83
Se 0.1518 0.6518 0.1518  3 Te 2.83
Se 0.3482 0.3482 0.6518  3 Te 2.83
Te 0.0000 0.0000 0.0000  6 Se 2.83
Se 0.8482 0.3482 0.8482  3 Te 2.83
Se 0.8482 0.1518 0.3482  3 Te 2.83
Se 0.6518 0.6518 0.3482  3 Te 2.83
Se 0.3482 0.1518 0.1518  3 Te 2.83
Se 0.6518 0.8482 0.8482  3 Te 2.83
Te 0.5000 0.5000 0.0000  6 Se 2.83
Te 0.5000 0.0000 0.5000  6 Se 2.83
Te 0.0000 0.5000 0.5000  6 Se 2.83

***

> Number 7 is which compound?

Tb2InRh

***

> Number 6 is which compound?

SrIn2Hg5

***

> What is the formula in the sixth record?

SrIn2Hg5